1.
This record from Alexandria describes an optimized crystal structure of LiLa6Cd. The functional is GGA-PBE.

Its space-group type is No. 139.

Geometry as CIF:
```
data_LiLa6Cd
_chemical_formula_sum 'Li1 La6 Cd1'
_space_group_name_H-M_alt 'P 1'
_space_group_IT_number 1
_space_group_name_Hall 'P 1'
_cell_length_a 10.0959
_cell_length_b 10.0959
_cell_length_c 10.0959
_cell_angle_alpha 149.51
_cell_angle_beta 149.51
_cell_angle_gamma 43.66
loop_
_atom_site_label
_atom_site_fract_x
_atom_site_fract_y
_atom_site_fract_z
Li1 0.0000 0.0000 0.0000
La1 0.1137 0.6137 0.5000
La2 0.2490 0.2490 0.0000
La3 0.3863 0.8863 0.5000
La4 0.6137 0.1137 0.5000
La5 0.7510 0.7510 0.0000
La6 0.8863 0.3863 0.5000
Cd1 0.5000 0.5000 0.0000
```

2.
This record from Alexandria describes an optimized crystal structure of Li2La2Cd. The functional is GGA-PBE.

Its space-group type is No. 127.

Geometry as CIF:
```
data_Li2La2Cd
_chemical_formula_sum 'Li4 La4 Cd2'
_space_group_name_H-M_alt 'P 1'
_space_group_IT_number 1
_space_group_name_Hall 'P 1'
_cell_length_a 7.0048
_cell_length_b 7.0048
_cell_length_c 5.3425
_cell_angle_alpha 90.00
_cell_angle_beta 90.00
_cell_angle_gamma 90.00
loop_
_atom_site_label
_atom_site_fract_x
_atom_site_fract_y
_atom_site_fract_z
Li1 0.1324 0.3676 0.0000
Li2 0.3676 0.8676 0.0000
Li3 0.6324 0.1324 0.0000
Li4 0.8676 0.6324 0.0000
La1 0.1771 0.6771 0.5000
La2 0.3229 0.1771 0.5000
La3 0.6771 0.8229 0.5000
La4 0.8229 0.3229 0.5000
Cd1 0.0000 0.0000 0.0000
Cd2 0.5000 0.5000 0.0000
```

3.
This record from Alexandria describes an optimized crystal structure of Li2LaCd. The functional is GGA-PBE.

Its space-group type is No. 8.

Geometry as CIF:
```
data_Li2LaCd
_chemical_formula_sum 'Li2 La1 Cd1'
_space_group_name_H-M_alt 'P 1'
_space_group_IT_number 1
_space_group_name_Hall 'P 1'
_cell_length_a 4.9593
_cell_length_b 4.9593
_cell_length_c 5.5668
_cell_angle_alpha 116.37
_cell_angle_beta 116.37
_cell_angle_gamma 59.95
loop_
_atom_site_label
_atom_site_fract_x
_atom_site_fract_y
_atom_site_fract_z
Li1 0.0000 0.0000 0.0000
Li2 0.7202 0.7202 0.1617
La1 0.2197 0.2197 0.6600
Cd1 0.4426 0.4426 0.3289
```

4.
This record from Alexandria describes an optimized crystal structure of LiLa14Cd. The functional is GGA-PBE.

Its space-group type is No. 123.

Geometry as CIF:
```
data_LiLa14Cd
_chemical_formula_sum 'Li1 La14 Cd1'
_space_group_name_H-M_alt 'P 1'
_space_group_IT_number 1
_space_group_name_Hall 'P 1'
_cell_length_a 7.2911
_cell_length_b 7.2911
_cell_length_c 10.4444
_cell_angle_alpha 90.00
_cell_angle_beta 90.00
_cell_angle_gamma 90.00
loop_
_atom_site_label
_atom_site_fract_x
_atom_site_fract_y
_atom_site_fract_z
Li1 0.0000 0.0000 0.0000
La1 0.0000 0.0000 0.5000
La2 0.0000 0.5000 0.0000
La3 0.0000 0.5000 0.5000
La4 0.2525 0.2525 0.2456
La5 0.2525 0.2525 0.7544
La6 0.2525 0.7475 0.2456
La7 0.2525 0.7475 0.7544
La8 0.5000 0.0000 0.0000
La9 0.5000 0.0000 0.5000
La10 0.5000 0.5000 0.5000
La11 0.7475 0.2525 0.2456
La12 0.7475 0.2525 0.7544
La13 0.7475 0.7475 0.2456
La14 0.7475 0.7475 0.7544
Cd1 0.5000 0.5000 0.0000
```

These records have magnetic moment values of 0.00; 0.00; 0.00; 0.00 μB/atom, in the order they appear.
These records have DFT total energy values of -32.9; -29.9; -10.0; -71.7 eV/cell, in the order they appear.